# 1
Entry from Alexandria via LeMat-Bulk: a geometry-optimized KAuSeO6 structure (PBE).

Computed properties:
- calculated volume (A^3/atom) = 15.46
- space group = P312, No. 149
- formation energy without anion corrections (meV/atom) = -558

Unit cell a=5.140 b=5.140 c=6.084 alpha=90.00 beta=90.00 gamma=120.00
Fractional coordinates of all 9 atoms:
K 0.000 0.000 0.000
Au 0.333 0.667 0.500
Se 0.667 0.333 0.500
O 0.388 0.031 0.675
O 0.388 0.357 0.325
O 0.643 0.031 0.325
O 0.643 0.612 0.675
O 0.969 0.357 0.675
O 0.969 0.612 0.325

***

# 2
Entry from Alexandria via LeMat-Bulk: a geometry-optimized VCrAs2 structure (PBE).

Computed properties:
- distance to the lowest polymorph of the same formula (eV per atom) = 0.5056
- calculated volume (A^3/atom) = 22.72
- formation energy (eV/atom) = 0.17
- space group = I-42d, No. 122

Unit cell a=5.659 b=5.659 c=11.355 alpha=90.00 beta=90.00 gamma=90.00
Fractional coordinates of all 16 atoms:
V 0.000 0.000 0.000
V 0.000 0.500 0.250
V 0.500 0.000 0.750
V 0.500 0.500 0.500
Cr 0.000 0.000 0.500
Cr 0.000 0.500 0.750
Cr 0.500 0.000 0.250
Cr 0.500 0.500 0.000
As 0.249 0.250 0.125
As 0.250 0.749 0.375
As 0.250 0.751 0.875
As 0.251 0.250 0.625
As 0.749 0.750 0.625
As 0.750 0.249 0.875
As 0.750 0.251 0.375
As 0.751 0.750 0.125

***

# 3
Entry from Alexandria via LeMat-Bulk: a geometry-optimized MgUN2 structure (PBE).

Computed properties:
- calculated volume (A^3/atom) = 13.75
- space group = R3m, No. 160
- formation energy without anion corrections (meV/atom) = -860

Unit cell a=3.356 b=3.356 c=16.920 alpha=90.00 beta=90.00 gamma=120.00
Fractional coordinates of all 12 atoms:
Mg 0.000 0.000 0.000
Mg 0.333 0.667 0.667
Mg 0.667 0.333 0.333
U 0.000 0.000 0.823
U 0.333 0.667 0.490
U 0.667 0.333 0.157
N 0.000 0.000 0.233
N 0.000 0.000 0.409
N 0.333 0.667 0.075
N 0.333 0.667 0.900
N 0.667 0.333 0.566
N 0.667 0.333 0.742